Mn2Te4Pb | PBE | optimized geometry

a b c (Å): 8.4339 8.4339 8.4339
angles (deg): 120.55 118.70 90.66
Last column: nearest neighbours and their distance in Å.
Sites, in units of the cell vectors:
Mn: 0.0000 0.0000 0.0000  6 Te 2.81-2.85
Mn: 0.5000 0.0000 0.0000  6 Te 2.81-2.85
Mn: 0.5000 0.0000 0.5000  6 Te 2.81-2.85
Mn: 0.5000 0.5000 0.5000  6 Te 2.81-2.85
Te: 0.2602 0.2333 0.4731  3 Mn 2.85, 2 Pb 3.16
Te: 0.2602 0.7870 0.0269  3 Mn 2.85, 2 Pb 3.16
Te: 0.2679 0.2359 0.0321  3 Mn 2.81, 1 Pb 3.14
Te: 0.2962 0.7641 0.5321  3 Mn 2.81, 1 Pb 3.14
Te: 0.7038 0.2359 0.4679  3 Mn 2.81, 1 Pb 3.14
Te: 0.7321 0.7641 0.9679  3 Mn 2.81, 1 Pb 3.14
Te: 0.7398 0.2130 0.9731  3 Mn 2.85, 2 Pb 3.16
Te: 0.7398 0.7667 0.5269  3 Mn 2.85, 2 Pb 3.16
Pb: 0.0000 0.5000 0.5000  6 Te 3.14-3.16
Pb: 0.5000 0.5000 0.0000  6 Te 3.14-3.16

Computed properties:
Calculated total energy in eV/atom: -5.109
Uncorrected formation energy in eV per atom: -0.16